Tb3NdTm4 | PBE | relaxed

Results
E_form, meV per atom: 11
Size of the total moment, μB per formula unit: 0.0

Lattice parameters (Å, degrees): 11.2378 7.2404 6.2514 90.00 90.00 90.00
Closest atoms and distances in Å follow each position.
Space group Pmn2_1 (No. 31)
Symmetry-distinct sites (fractional):
Tb1 0.0000 0.1274 0.0000 [2 per cell]  6 Tm 3.49-3.66, 4 Tb 3.50-3.52, 2 Nd 3.62-3.63
Tb2 0.2498 0.1279 0.3354 [4 per cell]  6 Tm 3.50-3.66, 2 Nd 3.50-3.52, 4 Tb 3.50-3.63
Nd1 0.0000 0.8729 0.5010 [2 per cell]  6 Tb 3.50-3.63, 6 Tm 3.52-3.66
Tm1 0.0000 0.3778 0.5018 [2 per cell]  6 Tm 3.48-3.59, 4 Tb 3.50-3.62, 2 Nd 3.58-3.66
Tm2 0.0000 0.6218 0.0020 [2 per cell]  6 Tm 3.47-3.59, 4 Tb 3.50-3.66, 2 Nd 3.61-3.62
Tm3 0.2486 0.3778 0.8347 [4 per cell]  6 Tm 3.47-3.59, 5 Tb 3.49-3.66, 1 Nd 3.52